Density functional theory data (SCAN) for a crystal of MgSiMo2 relaxed with PBEsol.

a = 2.6918 Å, b = 2.6918 Å, c = 8.6225 Å
α = 90.00°, β = 90.00°, γ = 90.00°
With the nearest neighbours (Å) after each atom.
Element x y z (fractional)
Mg (0.0000, 0.0000, 0.0000)  4 Mg 2.69, 4 Si 2.95, 4 Mo 2.96
Si (0.5000, 0.5000, 0.7379)  4 Mo 2.66, 4 Si 2.69, 4 Mg 2.95
Mo (0.0000, 0.0000, 0.5217)  4 Si 2.66, 8 Mo 2.69-2.93
Mo (0.5000, 0.5000, 0.2627)  8 Mo 2.69-2.93, 4 Mg 2.96

Calculated total energy   -0.76773 Ha/atom
Formation energy (no corrections)   299 meV per atom
Magnetization   0.0 μB/cell
D(E_F)   0.62 states/eV/atom